MnSnPS: optimized geometry, PBE-GGA.

Structure (POSCAR):
```
MnSnPS
1.0
-0.458 2.541 1.847
1.602 -2.504 1.115
6.426 4.205 -4.217
S Sn P Mn
1 1 1 1
Direct
0.186 0.706 0.971
0.395 0.120 0.604
0.292 0.915 0.291
0.905 0.142 0.129
```

volume = 74.9 Å³/cell
symmetry = P1, No. 1
energy relative to the elements, uncorrected = -0.98 eV per formula unit
M_tot = 0.789 μB per formula unit

LiCu2F6: optimized geometry, PBE-GGA.

Structure (POSCAR):
```
LiCu2F6
1.0
5.166 0.047 -0.013
-2.677 4.418 -0.013
0.038 0.067 8.884
F Li Cu
12 2 4
Direct
0.655 0.655 0.383
0.998 0.651 0.117
0.651 0.998 0.617
0.349 0.002 0.383
0.002 0.350 0.382
0.998 0.650 0.618
0.650 0.998 0.118
0.345 0.345 0.617
0.345 0.345 0.117
0.002 0.349 0.883
0.350 0.002 0.882
0.655 0.655 0.883
0.000 0.000 0.250
0.000 0.000 0.750
0.334 0.666 0.500
0.666 0.334 0.000
0.334 0.666 0.000
0.666 0.334 0.500
```

volume = 203.9 Å³/cell
symmetry = C2/m, No. 12
energy relative to the elements, uncorrected = -15.93 eV per formula unit
M_tot = 3.000 μB per formula unit

Be3InNi: optimized geometry, PBE-GGA.

Structure (POSCAR):
```
Be3InNi
1.0
4.408 0.000 0.000
0.000 4.408 0.000
0.000 0.000 4.408
In Be Ni
1 3 1
Direct
0.000 0.000 0.000
0.000 0.000 0.500
0.500 0.000 0.000
0.000 0.500 0.000
0.500 0.500 0.500
```

volume = 85.7 Å³/cell
total DFT energy (no corrections) = -2.49 eV/atom
symmetry = Pm-3m, No. 221
M_tot = 0.000 μB per formula unit

Ac2Pm2Pr5: optimized geometry, PBE-GGA.

Structure (POSCAR):
```
Ac2Pm2Pr5
1.0
-2.055 -2.359 -1.970
4.795 -7.928 4.488
-4.162 -0.557 8.477
Pr Pm Ac
5 2 2
Direct
0.163 0.474 0.325
0.000 0.000 0.000
0.837 0.526 0.675
0.338 0.206 0.675
0.662 0.794 0.325
0.172 0.095 0.343
0.828 0.905 0.657
0.514 0.317 0.029
0.486 0.683 0.971
```

volume = 343.2 Å³/cell
total DFT energy (no corrections) = -4.53 eV/atom
symmetry = C2/m, No. 12
M_tot = 0.000 μB per formula unit

Ba6In2HO: optimized geometry, PBE-GGA.

Structure (POSCAR):
```
Ba6In2HO
1.0
-4.748 3.467 -5.347
-3.612 -6.958 -1.304
-7.419 2.333 8.101
Ba H O In
12 2 2 4
Direct
0.257 0.493 0.000
0.500 0.250 0.243
0.743 0.493 0.000
0.743 0.008 0.000
0.257 0.008 0.000
0.243 0.992 0.500
0.000 0.750 0.257
0.500 0.250 0.757
0.000 0.750 0.743
0.757 0.507 0.500
0.757 0.992 0.500
0.243 0.507 0.500
0.500 0.250 0.500
0.000 0.750 0.000
0.000 0.750 0.500
0.500 0.250 0.000
0.500 0.750 0.750
0.000 0.250 0.250
0.500 0.750 0.250
0.000 0.250 0.750
```

volume = 709.2 Å³/cell
total DFT energy (no corrections) = -3.28 eV/atom
symmetry = Pmmn, No. 59
M_tot = 0.000 μB per formula unit

SnAuI3: optimized geometry, PBE-GGA.

Structure (POSCAR):
```
SnAuI3
1.0
5.670 0.000 0.000
0.000 5.670 0.000
0.000 0.000 5.670
Au I Sn
1 3 1
Direct
0.000 0.000 0.000
0.000 0.500 0.000
0.000 0.000 0.500
0.500 0.000 0.000
0.500 0.500 0.500
```

volume = 182.3 Å³/cell
symmetry = Pm-3m, No. 221
energy relative to the elements, uncorrected = 0.68 eV per formula unit
M_tot = 0.503 μB per formula unit

CrCd2Se: optimized geometry, PBE-GGA.

Structure (POSCAR):
```
CrCd2Se
1.0
7.216 -0.001 -0.033
5.375 4.814 0.033
-6.401 -2.129 2.560
Se Cd Cr
1 2 1
Direct
0.250 0.750 0.500
0.059 0.059 0.000
0.441 0.441 0.000
0.750 0.250 0.500
```

volume = 88.8 Å³/cell
symmetry = Immm, No. 71
energy relative to the elements, uncorrected = 0.10 eV per formula unit
M_tot = 3.960 μB per formula unit

NpPa2Ti3N6: optimized geometry, PBE-GGA.

Structure (POSCAR):
```
NpPa2Ti3N6
1.0
-1.885 -1.446 -2.103
-2.631 -3.645 4.864
-3.009 6.676 0.500
Pa N Ti Np
2 6 3 1
Direct
0.834 0.669 0.668
0.166 0.331 0.332
0.992 0.272 0.983
0.008 0.728 0.017
0.676 0.062 0.351
0.324 0.938 0.649
0.657 0.606 0.314
0.343 0.394 0.686
0.835 0.165 0.670
0.165 0.835 0.330
0.500 0.500 0.000
0.500 0.000 0.000
```

volume = 143.9 Å³/cell
symmetry = C2/m, No. 12
energy relative to the elements, uncorrected = -18.08 eV per formula unit
M_tot = 3.111 μB per formula unit

- Which of these has the lowest volume?
  MnSnPS